No. 1
A plane-wave DFT calculation with PBE was carried out for YSeS2 after structural relaxation.

The structure in POSCAR format:
```
YSeS2
1.0
-4.509 6.802 0.417
-4.602 5.319 4.160
-1.441 7.490 2.932
Y Se S
1 1 2
Cartesian
-5.276 9.805 3.755
0.000 0.000 0.000
-9.446 17.555 6.722
-1.106 2.055 0.787
```

- Formation energy from raw total energies: -98 kJ per mole of atoms
- Calculated volume: 27.50 Å³ per atom
- Mass density: 3.50 g/cm3
- Total moment: 0.9 μB per cell

No. 2
A plane-wave DFT calculation with PBE was carried out for Ni2PdCS after structural relaxation.

The structure in POSCAR format:
```
Ni2PdCS
1.0
3.643 0.000 0.000
0.000 3.643 0.000
0.000 0.000 4.780
Ni C Pd S
2 1 1 1
Cartesian
0.000 1.822 0.000
1.822 0.000 0.000
0.000 0.000 0.000
1.822 1.822 2.390
0.000 0.000 2.390
```

- Formation energy from raw total energies: 45 kJ per mole of atoms
- Calculated volume: 12.69 Å³ per atom
- Mass density: 7.01 g/cm3
- Total moment: 0.0 μB per cell

No. 3
A plane-wave DFT calculation with PBE was carried out for Pr3UIn12 after structural relaxation.

The structure in POSCAR format:
```
Pr3UIn12
1.0
-3.379 -0.662 3.197
-1.675 -3.597 -2.515
11.283 -11.872 9.467
In Pr U
12 3 1
Cartesian
6.228 -9.233 4.671
9.082 -12.236 7.066
3.380 -6.236 2.281
8.231 -10.768 9.922
3.115 -8.065 5.074
5.959 -11.058 7.461
5.376 -7.765 7.527
2.528 -4.768 5.137
-2.527 -2.130 0.341
0.271 -5.073 2.688
0.526 -3.233 -0.114
-0.326 -1.765 2.742
2.794 -2.940 2.344
8.489 -8.932 7.123
5.642 -5.936 4.734
0.000 0.000 0.000
```

- Calculated volume: 26.10 Å³ per atom
- E_form: -353.0 meV/atom
- Mass density: 8.11 g/cm3
- Total moment: 2.4 μB per cell

No. 4
A plane-wave DFT calculation with PBE was carried out for NaTaTc2Pb after structural relaxation.

The structure in POSCAR format:
```
NaTaTc2Pb
1.0
4.604 0.000 0.000
0.000 4.751 0.000
0.000 0.000 4.604
Tc Pb Ta Na
2 1 1 1
Cartesian
0.000 0.000 2.302
2.302 0.000 0.000
0.000 2.375 0.000
2.302 2.375 2.302
0.000 0.000 0.000
```

- Calculated volume: 20.14 Å³ per atom
- E_form: 2190.6 meV/atom
- Mass density: 10.01 g/cm3
- Total moment: 3.1 μB per cell

No. 5
A plane-wave DFT calculation with PBE was carried out for MgMnMo2 after structural relaxation.

The structure in POSCAR format:
```
MgMnMo2
1.0
-3.206 5.999 2.061
-4.191 -0.270 -5.734
-5.457 1.461 -0.485
Mo Mn Mg
4 2 2
Cartesian
-10.815 6.092 -3.919
-4.083 4.438 0.573
-4.193 0.589 -3.570
-6.617 3.260 -1.400
0.000 0.000 0.000
-6.181 5.162 -0.130
-6.673 2.028 -4.028
-3.699 2.864 -1.836
```

- Calculated volume: 16.57 Å³ per atom
- E_form: 649.5 meV/atom
- Mass density: 6.79 g/cm3
- Total moment: 0.0 μB per cell

No. 6
A plane-wave DFT calculation with PBE was carried out for In2GaIr after structural relaxation.

The structure in POSCAR format:
```
In2GaIr
1.0
3.117 0.000 0.000
1.558 2.699 0.000
1.558 0.900 9.850
In Ga Ir
2 1 1
Cartesian
4.675 2.699 2.795
1.558 0.900 7.055
0.000 0.000 0.000
3.117 1.799 4.925
```

- Calculated volume: 20.72 Å³ per atom
- E_form: 122.8 meV/atom
- Mass density: 9.85 g/cm3
- Total moment: 0.0 μB per cell

No. 7
A plane-wave DFT calculation with PBE was carried out for CrCdOs2 after structural relaxation.

The structure in POSCAR format:
```
CrCdOs2
1.0
-2.936 1.773 2.864
-1.190 -4.100 1.318
2.146 0.070 2.155
Cr Cd Os
1 1 2
Cartesian
0.478 -2.015 1.737
-0.395 0.921 2.510
0.000 0.000 0.000
-2.063 -1.164 2.091
```

- Calculated volume: 15.18 Å³ per atom
- E_form: 774.2 meV/atom
- Mass density: 14.90 g/cm3
- Total moment: 1.0 μB per cell

No. 8
A plane-wave DFT calculation with PBE was carried out for MgAlIn2 after structural relaxation.

The structure in POSCAR format:
```
MgAlIn2
1.0
3.317 0.000 0.000
0.000 4.437 0.000
0.000 0.000 6.267
In Al Mg
2 1 1
Cartesian
0.000 0.000 6.163
1.659 2.218 1.639
1.659 2.218 4.691
0.000 0.000 3.175
```

- Calculated volume: 23.06 Å³ per atom
- E_form: 52.6 meV/atom
- Mass density: 5.06 g/cm3
- Total moment: 0.0 μB per cell